! Cr2Ru | the Alexandria database | PBE | optimized geometry; values from VASP
&SYSTEM
  ibrav = 0, nat = 30, ntyp = 2
/
ATOMIC_SPECIES
Cr 52.00 Cr.upf
Ru 101.07 Ru.upf
CELL_PARAMETERS angstrom
9.069 0.000 0.000
0.000 9.069 0.000
0.000 0.000 4.604
ATOMIC_POSITIONS crystal
Cr 0.403 0.597 0.000
Cr 0.741 0.935 0.000
Ru 0.359 0.039 0.500
Cr 0.097 0.097 0.500
Ru 0.000 0.000 0.000
Cr 0.935 0.741 0.000
Ru 0.500 0.500 0.500
Cr 0.686 0.686 0.756
Cr 0.814 0.186 0.744
Cr 0.903 0.903 0.500
Cr 0.814 0.186 0.256
Cr 0.314 0.314 0.756
Cr 0.597 0.403 0.000
Ru 0.961 0.641 0.500
Cr 0.759 0.435 0.500
Cr 0.686 0.686 0.244
Ru 0.859 0.461 0.000
Cr 0.241 0.565 0.500
Ru 0.141 0.539 0.000
Cr 0.065 0.259 0.000
Ru 0.039 0.359 0.500
Cr 0.259 0.065 0.000
Cr 0.435 0.759 0.500
Cr 0.186 0.814 0.256
Cr 0.565 0.241 0.500
Cr 0.186 0.814 0.744
Ru 0.461 0.859 0.000
Ru 0.539 0.141 0.000
Ru 0.641 0.961 0.500
Cr 0.314 0.314 0.244
! E_form   0.0751 eV per atom
! Size of the total moment   0.00 μB/f.u.
! SG   P4_2/mnm

! CrRu | the Alexandria database | PBE | optimized geometry; values from VASP
&SYSTEM
  ibrav = 0, nat = 4, ntyp = 2
/
ATOMIC_SPECIES
Cr 52.00 Cr.upf
Ru 101.07 Ru.upf
CELL_PARAMETERS angstrom
-0.915 2.960 -2.841
-3.819 1.757 -0.049
-0.491 3.996 1.211
ATOMIC_POSITIONS crystal
Cr 0.250 0.250 0.250
Cr 0.000 0.000 0.000
Ru 0.750 0.750 0.750
Ru 0.500 0.500 0.500
! E_form   0.3483 eV per atom
! Size of the total moment   0.58 μB/f.u.
! SG   Fd-3m

! CrRuS | the Alexandria database | PBE | optimized geometry; values from VASP
&SYSTEM
  ibrav = 0, nat = 6, ntyp = 3
/
ATOMIC_SPECIES
Cr 52.00 Cr.upf
S 32.06 S.upf
Ru 101.07 Ru.upf
CELL_PARAMETERS angstrom
3.896 -0.258 -0.112
2.073 1.817 -0.218
0.499 0.887 11.316
ATOMIC_POSITIONS crystal
Cr 0.259 0.998 0.755
S 0.762 0.996 0.646
Ru 0.247 0.001 0.081
Ru 0.753 0.999 0.919
S 0.238 0.004 0.354
Cr 0.741 0.002 0.245
! Energy relative to the elements, uncorrected   -0.14 eV per atom
! Size of the total moment   0.13 μB/f.u.
! SG   P-1

! CrRuS2 | the Alexandria database | PBE | optimized geometry; values from VASP
&SYSTEM
  ibrav = 0, nat = 4, ntyp = 3
/
ATOMIC_SPECIES
Ru 101.07 Ru.upf
S 32.06 S.upf
Cr 52.00 Cr.upf
CELL_PARAMETERS angstrom
1.697 0.000 7.502
-0.849 1.470 7.502
-0.849 -1.470 7.502
ATOMIC_POSITIONS crystal
Ru 0.000 0.000 0.000
S 0.099 0.099 0.099
Cr 0.500 0.500 0.500
S 0.901 0.901 0.901
! Excess energy over the best structure of this formula in the dataset   0 meV/atom
! Energy relative to the elements, uncorrected   -0.23 eV per atom
! Size of the total moment   0.00 μB/f.u.
! SG   R-3m

! CrRu2S2 | the Alexandria database | PBE | optimized geometry; values from VASP
&SYSTEM
  ibrav = 0, nat = 10, ntyp = 3
/
ATOMIC_SPECIES
S 32.06 S.upf
Ru 101.07 Ru.upf
Cr 52.00 Cr.upf
CELL_PARAMETERS angstrom
6.759 0.000 0.000
0.000 6.759 0.000
0.000 0.000 3.048
ATOMIC_POSITIONS crystal
S 0.336 0.164 0.500
Ru 0.640 0.140 0.000
S 0.164 0.664 0.500
Ru 0.140 0.360 0.000
S 0.836 0.336 0.500
Cr 0.500 0.500 0.000
S 0.664 0.836 0.500
Ru 0.860 0.640 0.000
Cr 0.000 0.000 0.000
Ru 0.360 0.860 0.000
! Excess energy over the best structure of this formula in the dataset   225 meV/atom
! Energy relative to the elements, uncorrected   0.51 eV per atom
! Size of the total moment   0.07 μB/f.u.
! SG   P4/mbm

! CrRu3S | the Alexandria database | PBE | optimized geometry; values from VASP
&SYSTEM
  ibrav = 0, nat = 5, ntyp = 3
/
ATOMIC_SPECIES
S 32.06 S.upf
Ru 101.07 Ru.upf
Cr 52.00 Cr.upf
CELL_PARAMETERS angstrom
-1.665 2.948 -2.621
0.184 -2.784 -3.247
-3.940 -1.375 0.956
ATOMIC_POSITIONS crystal
S 0.000 0.000 0.000
Ru 0.000 0.000 0.500
Ru 0.000 0.500 0.000
Ru 0.500 0.000 0.000
Cr 0.500 0.500 0.500
! Excess energy over the best structure of this formula in the dataset   0 meV/atom
! Energy relative to the elements, uncorrected   0.87 eV per atom
! Size of the total moment   0.25 μB/f.u.
! SG   Pm-3m